No. 1
InAsPt2 | Alexandria via LeMat-Bulk | GGA-PBE | optimized geometry; crystal system = trigonal; space-group type = No. 166; E_form = -0.204 eV/atom
1.0
1.856 1.072 6.509
-1.856 1.072 6.509
0.000 -2.144 6.509
In As Pt
1 1 2
Direct
0.000 0.000 0.000
0.500 0.500 0.500
0.240 0.240 0.240
0.760 0.760 0.760

No. 2
LaAlAg3 | Alexandria via LeMat-Bulk | GGA-PBE | optimized geometry; crystal system = cubic; space-group type = No. 221; E_form = 1.031 eV/atom; energy above the most stable polymorph in this dataset = 6.33 eV per formula unit
1.0
5.712 0.000 0.000
0.000 5.712 0.000
0.000 0.000 5.712
La Al Ag
1 1 3
Direct
0.000 0.000 0.000
0.500 0.500 0.500
0.000 0.000 0.500
0.000 0.500 0.000
0.500 0.000 0.000

No. 3
BaCrAs2Se | Alexandria via LeMat-Bulk | GGA-PBE | optimized geometry; crystal system = tetragonal; space-group type = No. 123; energy above the most stable polymorph in this dataset = 0.00 eV per formula unit; energy relative to the elements, uncorrected = -0.5315 eV/atom
1.0
4.697 0.000 0.000
0.000 4.697 0.000
0.000 0.000 5.714
Ba Cr As Se
1 1 2 1
Direct
0.000 0.000 0.000
0.500 0.500 0.500
0.000 0.500 0.500
0.500 0.000 0.500
0.500 0.500 0.000

No. 4
Ba2Cd6AgHg | Alexandria via LeMat-Bulk | GGA-PBE | optimized geometry; crystal system = orthorhombic; space-group type = No. 59; E_form = -0.188 eV/atom
1.0
7.980 0.000 0.000
0.000 10.129 0.000
0.000 0.000 7.535
Ba Cd Ag Hg
4 12 2 2
Direct
0.250 0.017 0.225
0.250 0.483 0.225
0.750 0.517 0.775
0.750 0.983 0.775
0.061 0.250 0.883
0.075 0.750 0.540
0.250 0.503 0.721
0.250 0.997 0.721
0.425 0.750 0.540
0.439 0.250 0.883
0.561 0.750 0.117
0.575 0.250 0.460
0.750 0.003 0.279
0.750 0.497 0.279
0.925 0.250 0.460
0.939 0.750 0.117
0.250 0.250 0.558
0.750 0.750 0.442
0.250 0.750 0.923
0.750 0.250 0.077

no.,raw total energy (eV per atom)
1,-5.07
2,-2.41
3,-5.40
4,-1.44